VASP calculation (GGA-PBE) on a relaxed structure of Li6Mg12Cu.

Calculated values
Space-group type ... R-3 (148)
Crystal system ... trigonal

a = 7.3355 Å, b = 7.3355 Å, c = 7.3355 Å
α = 89.82°, β = 89.82°, γ = 89.82°
Closest atoms and distances in Å follow each position.
Positions (direct):
Mg  0.4713  0.5618  0.1976  4 Li 2.99-3.16, 5 Mg 3.02-3.27
Mg  0.8024  0.5287  0.4382  4 Li 2.99-3.16, 5 Mg 3.02-3.27
Mg  0.1976  0.4713  0.5618  4 Li 2.99-3.16, 5 Mg 3.02-3.27
Mg  0.4382  0.8024  0.5287  4 Li 2.99-3.16, 5 Mg 3.02-3.27
Mg  0.1500  0.3609  0.0246  1 Cu 2.88, 4 Li 2.93-3.15, 4 Mg 3.02-3.06
Mg  0.0246  0.1500  0.3609  1 Cu 2.88, 4 Li 2.93-3.15, 4 Mg 3.02-3.06
Mg  0.5618  0.1976  0.4713  4 Li 2.99-3.16, 5 Mg 3.02-3.27
Mg  0.5287  0.4382  0.8024  4 Li 2.99-3.16, 5 Mg 3.02-3.27
Mg  0.6391  0.9754  0.8500  1 Cu 2.88, 4 Li 2.93-3.15, 4 Mg 3.02-3.06
Mg  0.8500  0.6391  0.9754  1 Cu 2.88, 4 Li 2.93-3.15, 4 Mg 3.02-3.06
Mg  0.3609  0.0246  0.1500  1 Cu 2.88, 4 Li 2.93-3.15, 4 Mg 3.02-3.06
Mg  0.9754  0.8500  0.6391  1 Cu 2.88, 4 Li 2.93-3.15, 4 Mg 3.02-3.06
Li  0.8940  0.2608  0.7358  1 Cu 2.83, 8 Mg 2.93-3.16, 2 Li 2.94
Li  0.2608  0.7358  0.8940  1 Cu 2.83, 8 Mg 2.93-3.16, 2 Li 2.94
Li  0.1060  0.7392  0.2642  1 Cu 2.83, 8 Mg 2.93-3.16, 2 Li 2.94
Li  0.7392  0.2642  0.1060  1 Cu 2.83, 8 Mg 2.93-3.16, 2 Li 2.94
Li  0.7358  0.8940  0.2608  1 Cu 2.83, 8 Mg 2.93-3.16, 2 Li 2.94
Li  0.2642  0.1060  0.7392  1 Cu 2.83, 8 Mg 2.93-3.16, 2 Li 2.94
Cu  0.0000  0.0000  0.0000  6 Li 2.83, 6 Mg 2.88

=====

VASP calculation (GGA-PBE) on a relaxed structure of Li2MgCu2.

Calculated values
Space-group type ... P4/mbm (127)
E above lowest polymorph ... 53 meV per atom
Crystal system ... tetragonal

a = 7.0842 Å, b = 7.0842 Å, c = 3.0306 Å
α = 90.00°, β = 90.00°, γ = 90.00°
Closest atoms and distances in Å follow each position.
Positions (direct):
Cu  0.1256  0.3744  0.0000  1 Cu 2.52, 6 Li 2.57-2.59, 2 Mg 2.80
Cu  0.3744  0.8744  0.0000  1 Cu 2.52, 6 Li 2.57-2.59, 2 Mg 2.80
Cu  0.6256  0.1256  0.0000  1 Cu 2.52, 6 Li 2.57-2.59, 2 Mg 2.80
Cu  0.8744  0.6256  0.0000  1 Cu 2.52, 6 Li 2.57-2.59, 2 Mg 2.80
Li  0.1673  0.6673  0.5000  6 Cu 2.57-2.59
Li  0.6673  0.8327  0.5000  6 Cu 2.57-2.59
Li  0.8327  0.3327  0.5000  6 Cu 2.57-2.59
Li  0.3327  0.1673  0.5000  6 Cu 2.57-2.59
Mg  0.0000  0.0000  0.0000  4 Cu 2.80, 2 Mg 3.03, 8 Li 3.04
Mg  0.5000  0.5000  0.0000  4 Cu 2.80, 2 Mg 3.03, 8 Li 3.04

=====

VASP calculation (GGA-PBE) on a relaxed structure of Li3MgCu.

Calculated values
Space-group type ... Ama2 (40)
E above lowest polymorph ... 0 meV per atom
Crystal system ... orthorhombic

a = 4.4352 Å, b = 6.0952 Å, c = 7.6659 Å
α = 113.43°, β = 90.00°, γ = 90.00°
Closest atoms and distances in Å follow each position.
Positions (direct):
Li  0.7500  0.8633  0.8322  2 Li 2.69, 1 Cu 2.76, 2 Mg 2.89
Li  0.7500  0.8208  0.2267  3 Cu 2.55-2.72, 3 Li 2.69-2.79, 1 Mg 2.80
Li  0.2500  0.0311  0.1679  2 Li 2.69, 1 Cu 2.76, 2 Mg 2.89
Li  0.2500  0.6971  0.4494  1 Cu 2.54, 1 Li 2.79
Li  0.7500  0.2477  0.5506  1 Cu 2.54, 1 Li 2.79
Li  0.2500  0.5941  0.7733  3 Cu 2.55-2.72, 3 Li 2.69-2.79, 1 Mg 2.80
Mg  0.2500  0.1461  0.7950  3 Cu 2.59-2.83, 3 Li 2.80-2.89
Mg  0.7500  0.3510  0.2049  3 Cu 2.59-2.83, 3 Li 2.80-2.89
Cu  0.2500  0.5485  0.0899  5 Li 2.54-2.76, 2 Cu 2.55, 3 Mg 2.59-2.83
Cu  0.7500  0.4586  0.9101  5 Li 2.54-2.76, 2 Cu 2.55, 3 Mg 2.59-2.83

=====

VASP calculation (GGA-PBE) on a relaxed structure of Li12Mg3Cu.

Calculated values
Space-group type ... P4/mmm (123)
Crystal system ... tetragonal

a = 4.9179 Å, b = 4.9179 Å, c = 12.3993 Å
α = 90.00°, β = 90.00°, γ = 90.00°
Closest atoms and distances in Å follow each position.
Positions (direct):
Li  0.0000  0.5000  0.3681  5 Li 2.91-3.21, 4 Mg 2.95-2.99
Li  0.5000  0.0000  0.1091  5 Li 2.71-2.96, 2 Cu 2.81, 2 Mg 2.89
Li  0.5000  0.5000  0.0000  10 Li 2.81-3.01
Li  0.5000  0.0000  0.3681  5 Li 2.91-3.21, 4 Mg 2.95-2.99
Li  0.5000  0.5000  0.7575  10 Li 2.91-3.19
Li  0.0000  0.5000  0.6319  5 Li 2.91-3.21, 4 Mg 2.95-2.99
Li  0.5000  0.0000  0.6319  5 Li 2.91-3.21, 4 Mg 2.95-2.99
Li  0.0000  0.5000  0.8909  5 Li 2.71-2.96, 2 Cu 2.81, 2 Mg 2.89
Li  0.5000  0.0000  0.8909  5 Li 2.71-2.96, 2 Cu 2.81, 2 Mg 2.89
Li  0.0000  0.5000  0.1091  5 Li 2.71-2.96, 2 Cu 2.81, 2 Mg 2.89
Li  0.5000  0.5000  0.2425  10 Li 2.91-3.19
Li  0.5000  0.5000  0.5000  10 Li 2.95-3.19
Mg  0.0000  0.0000  0.2312  1 Cu 2.87, 8 Li 2.89-2.99
Mg  0.0000  0.0000  0.5000  8 Li 2.95
Mg  0.0000  0.0000  0.7688  1 Cu 2.87, 8 Li 2.89-2.99
Cu  0.0000  0.0000  0.0000  8 Li 2.81, 2 Mg 2.87

=====

no.,energy relative to the elements (meV per atom),final energy (eV per formula unit)
1,-19,-35.1
2,6,-13.6
3,31,-11.3
4,-19,-32.2